# 1
A relaxed structure of Sc2HRu, computed with PBE-GGA.

The structure in CIF format:
```
data_Sc2HRu
_symmetry_space_group_name_H-M 'P 1'
_symmetry_Int_Tables_number 1
_cell_length_a 7.5888
_cell_length_b 7.5888
_cell_length_c 7.5888
_cell_angle_alpha 23.29
_cell_angle_beta 23.29
_cell_angle_gamma 23.29
loop_
_symmetry_equiv_pos_as_xyz
'x,y,z'
loop_
_atom_site_label
_atom_site_type_symbol
_atom_site_fract_x
_atom_site_fract_y
_atom_site_fract_z
Ru1 Ru 0.0000 0.0000 0.0000
H1 H 0.5000 0.5000 0.5000
Sc1 Sc 0.8935 0.8935 0.8935
Sc2 Sc 0.1065 0.1065 0.1065
```

Computed properties:
- Polymorph energy (0 for the lowest one): 1.95 eV per formula unit
- DOS(E_F): 5.561 states/eV per cell

***

# 2
A relaxed structure of ZrPW2, computed with PBE-GGA.

The structure in CIF format:
```
data_ZrPW2
_symmetry_space_group_name_H-M 'P 1'
_symmetry_Int_Tables_number 1
_cell_length_a 2.9527
_cell_length_b 2.9527
_cell_length_c 7.6896
_cell_angle_alpha 90.00
_cell_angle_beta 90.00
_cell_angle_gamma 90.00
loop_
_symmetry_equiv_pos_as_xyz
'x,y,z'
loop_
_atom_site_label
_atom_site_type_symbol
_atom_site_fract_x
_atom_site_fract_y
_atom_site_fract_z
W1 W 0.0000 0.0000 0.3063
W2 W 0.0000 0.0000 0.6937
P1 P 0.5000 0.5000 0.5000
Zr1 Zr 0.5000 0.5000 0.0000
```

Computed properties:
- ΔH_f (0 K): 143.2 meV/atom
- DOS(E_F): 5.436 states/eV per cell

***

# 3
A relaxed structure of Pb2WSe, computed with PBE-GGA.

The structure in CIF format:
```
data_Pb2WSe
_symmetry_space_group_name_H-M 'P 1'
_symmetry_Int_Tables_number 1
_cell_length_a 10.4144
_cell_length_b 10.4144
_cell_length_c 10.4144
_cell_angle_alpha 18.31
_cell_angle_beta 18.31
_cell_angle_gamma 18.31
loop_
_symmetry_equiv_pos_as_xyz
'x,y,z'
loop_
_atom_site_label
_atom_site_type_symbol
_atom_site_fract_x
_atom_site_fract_y
_atom_site_fract_z
W1 W 0.7592 0.7592 0.7592
Pb1 Pb 0.2471 0.2471 0.2471
Pb2 Pb 0.0149 0.0149 0.0149
Se1 Se 0.4789 0.4789 0.4789
```

Computed properties:
- DOS(E_F): 2.854 states/eV per cell
- Formation energy without anion corrections: 0.6 eV per formula unit

***

# 4
A relaxed structure of NdSmErCd, computed with PBE-GGA.

The structure in CIF format:
```
data_NdSmErCd
_symmetry_space_group_name_H-M 'P 1'
_symmetry_Int_Tables_number 1
_cell_length_a 3.6487
_cell_length_b 3.6487
_cell_length_c 9.0635
_cell_angle_alpha 90.00
_cell_angle_beta 90.00
_cell_angle_gamma 90.00
loop_
_symmetry_equiv_pos_as_xyz
'x,y,z'
loop_
_atom_site_label
_atom_site_type_symbol
_atom_site_fract_x
_atom_site_fract_y
_atom_site_fract_z
Er1 Er 0.5000 0.5000 0.3506
Nd1 Nd 0.0000 0.0000 0.0771
Sm1 Sm 0.5000 0.5000 0.7946
Cd1 Cd 0.0000 0.0000 0.5624
```

Computed properties:
- Polymorph energy (0 for the lowest one): 0.00 eV per formula unit
- ΔH_f (0 K): -149.1 meV/atom
- DOS(E_F): 3.980 states/eV per cell

***

# 5
A relaxed structure of Na4Er3MnTe8, computed with PBE-GGA.

The structure in CIF format:
```
data_Na4Er3MnTe8
_symmetry_space_group_name_H-M 'P 1'
_symmetry_Int_Tables_number 1
_cell_length_a 8.6547
_cell_length_b 9.0724
_cell_length_c 8.6554
_cell_angle_alpha 118.49
_cell_angle_beta 120.00
_cell_angle_gamma 90.00
loop_
_symmetry_equiv_pos_as_xyz
'x,y,z'
loop_
_atom_site_label
_atom_site_type_symbol
_atom_site_fract_x
_atom_site_fract_y
_atom_site_fract_z
Er1 Er 0.5000 0.5000 0.5000
Er2 Er 0.5000 0.5000 0.0000
Er3 Er 0.0000 0.5000 0.5000
Te1 Te 0.7442 0.7324 0.4883
Te2 Te 0.7674 0.2783 0.0108
Te3 Te 0.7672 0.2781 0.5344
Te4 Te 0.2434 0.2783 0.0108
Te5 Te 0.7566 0.7217 0.9892
Te6 Te 0.2558 0.2676 0.5117
Te7 Te 0.2328 0.7219 0.4656
Te8 Te 0.2326 0.7217 0.9892
Na1 Na 0.5000 0.0000 0.5000
Na2 Na 0.0000 0.0000 0.0000
Na3 Na 0.0000 0.0000 0.5000
Na4 Na 0.5000 0.0000 0.0000
Mn1 Mn 0.0000 0.5000 0.0000
```

Computed properties:
- DOS(E_F): 3.631 states/eV per cell
- Formation energy without anion corrections: -17.0 eV per formula unit

***

# 6
A relaxed structure of AcLaTbHg, computed with PBE-GGA.

The structure in CIF format:
```
data_AcLaTbHg
_symmetry_space_group_name_H-M 'P 1'
_symmetry_Int_Tables_number 1
_cell_length_a 5.7320
_cell_length_b 5.7320
_cell_length_c 5.7320
_cell_angle_alpha 60.00
_cell_angle_beta 60.00
_cell_angle_gamma 60.00
loop_
_symmetry_equiv_pos_as_xyz
'x,y,z'
loop_
_atom_site_label
_atom_site_type_symbol
_atom_site_fract_x
_atom_site_fract_y
_atom_site_fract_z
Ac1 Ac 0.7500 0.7500 0.7500
Tb1 Tb 0.5000 0.5000 0.5000
Hg1 Hg 0.0000 0.0000 0.0000
La1 La 0.2500 0.2500 0.2500
```

Computed properties:
- Polymorph energy (0 for the lowest one): 0.67 eV per formula unit
- ΔH_f (0 K): -62.5 meV/atom
- DOS(E_F): 6.399 states/eV per cell

***

Q: What is the DOS(E_F) in the fifth record?
A: 3.631 states/eV per cell